# AlHgPt2W | Alexandria via LeMat-Bulk | PBE | optimized geometry
# E_form = 0.9389 eV/atom
data_AlHgPt2W
_cell_length_a 4.8673
_cell_length_b 4.8673
_cell_length_c 5.0062
_cell_angle_alpha 90.00
_cell_angle_beta 90.00
_cell_angle_gamma 90.00
_space_group_name_H-M_alt 'P 4/m m m'
_space_group_IT_number 123
_space_group_name_Hall '-P 4 2'
loop_
_atom_site_label
_atom_site_fract_x
_atom_site_fract_y
_atom_site_fract_z
_atom_site_occupancy
Al1 0.0000 0.0000 0.0000 1
Hg1 0.5000 0.5000 0.0000 1
Pt1 0.0000 0.5000 0.5000 1
W1 0.0000 0.0000 0.5000 1

# PuAlHg2 | Alexandria via LeMat-Bulk | PBE | optimized geometry
# Energy above the lowest structure with this stoichiometry = 66 meV per atom
# E_form = -0.0259 eV/atom
data_PuAlHg2
_cell_length_a 4.4952
_cell_length_b 4.4952
_cell_length_c 4.6957
_cell_angle_alpha 90.00
_cell_angle_beta 90.00
_cell_angle_gamma 90.00
_space_group_name_H-M_alt 'P 4/m m m'
_space_group_IT_number 123
_space_group_name_Hall '-P 4 2'
loop_
_atom_site_label
_atom_site_fract_x
_atom_site_fract_y
_atom_site_fract_z
_atom_site_occupancy
Pu1 0.0000 0.0000 0.0000 1
Al1 0.5000 0.5000 0.0000 1
Hg1 0.0000 0.5000 0.5000 1

# PuAl2Hg | Alexandria via LeMat-Bulk | PBE | optimized geometry
# Energy above the lowest structure with this stoichiometry = 115 meV per atom
# E_form = 0.0132 eV/atom
data_PuAl2Hg
_cell_length_a 6.9537
_cell_length_b 6.9537
_cell_length_c 6.9537
_cell_angle_alpha 90.00
_cell_angle_beta 90.00
_cell_angle_gamma 90.00
_space_group_name_H-M_alt 'F m -3 m'
_space_group_IT_number 225
_space_group_name_Hall '-F 4 2 3'
loop_
_atom_site_label
_atom_site_fract_x
_atom_site_fract_y
_atom_site_fract_z
_atom_site_occupancy
Pu1 0.0000 0.0000 0.0000 1
Al1 0.2500 0.2500 0.2500 1
Hg1 0.0000 0.0000 0.5000 1

# PuAlHg | Alexandria via LeMat-Bulk | PBE | optimized geometry
# Energy above the lowest structure with this stoichiometry = 0 meV per atom
# E_form = -0.1834 eV/atom
data_PuAlHg
_cell_length_a 4.9465
_cell_length_b 4.9465
_cell_length_c 3.1449
_cell_angle_alpha 90.00
_cell_angle_beta 90.00
_cell_angle_gamma 120.00
_space_group_name_H-M_alt 'P -6 m 2'
_space_group_IT_number 187
_space_group_name_Hall 'P -6 2'
loop_
_atom_site_label
_atom_site_fract_x
_atom_site_fract_y
_atom_site_fract_z
_atom_site_occupancy
Pu1 0.0000 0.0000 0.0000 1
Al1 0.3333 0.6667 0.5000 1
Hg1 0.6667 0.3333 0.5000 1